# 1
! MgN2O2 PBE optimized geometry; values from VASP
! - Total energy: -0.3046 Ry/atom
! - Distance to the lowest polymorph of the same formula: 0.5953 eV per atom
&SYSTEM
  ibrav = 0, nat = 5, ntyp = 3
/
ATOMIC_SPECIES
Mg 24.30 Mg.upf
N 14.01 N.upf
O 16.00 O.upf
CELL_PARAMETERS angstrom
3.5927 0.0000 0.0000
0.0000 3.5927 0.0000
0.0000 0.0000 3.6914
ATOMIC_POSITIONS angstrom
Mg 0.0000 0.0000 0.0000
N 0.0000 1.7963 1.8457
N 1.7963 0.0000 1.8457
O 1.7963 1.7963 0.0000
O 1.7963 1.7963 1.8457

# 2
! Mg6NO4 PBE optimized geometry; values from VASP
! - Total energy: -0.3746 Ry/atom
&SYSTEM
  ibrav = 0, nat = 22, ntyp = 3
/
ATOMIC_SPECIES
Mg 24.30 Mg.upf
N 14.01 N.upf
O 16.00 O.upf
CELL_PARAMETERS angstrom
4.6840 2.7043 3.6310
-4.6840 2.7043 3.6310
0.0000 -5.4086 3.6310
ATOMIC_POSITIONS angstrom
Mg -4.2948 -1.1464 5.9821
Mg -1.1546 -4.2926 4.9108
Mg -1.1546 -1.1160 4.1666
Mg -3.1402 3.1462 4.9108
Mg -0.3892 1.5579 4.1666
Mg -1.5438 0.4419 6.7262
Mg 1.5438 -0.4419 4.1666
Mg 0.3892 -1.5579 6.7262
Mg 3.1402 -3.1462 5.9821
Mg 1.1546 1.1160 6.7262
Mg 1.1546 4.2926 5.9821
Mg 4.2948 1.1464 4.9108
N 0.0000 0.0000 0.0000
N 0.0000 0.0000 5.4464
O -3.2181 -0.1653 4.5387
O 0.0000 0.0000 2.7232
O -1.4659 -2.8696 6.3542
O 1.7522 -2.7043 4.5387
O -1.7522 2.7043 6.3542
O 1.4659 2.8696 4.5387
O 0.0000 0.0000 8.1697
O 3.2181 0.1653 6.3542

# 3
! Mg4NO3 PBE optimized geometry; values from VASP
! - Total energy: -0.4176 Ry/atom
&SYSTEM
  ibrav = 0, nat = 8, ntyp = 3
/
ATOMIC_SPECIES
Mg 24.30 Mg.upf
N 14.01 N.upf
O 16.00 O.upf
CELL_PARAMETERS angstrom
4.3067 0.0000 0.0000
0.0000 4.3067 0.0000
0.0000 0.0000 4.3067
ATOMIC_POSITIONS angstrom
Mg 0.0000 0.0000 0.0000
Mg 0.0000 2.1534 2.1534
Mg 2.1534 0.0000 2.1534
Mg 2.1534 2.1534 0.0000
N 2.1534 2.1534 2.1534
O 0.0000 0.0000 2.1534
O 0.0000 2.1534 0.0000
O 2.1534 0.0000 0.0000